The following is a DFT calculation (PBE-GGA) of a relaxed structure of SiPdSeN2.

Values from the calculation:
SG: P4/mmm (123)
E_form (uncorrected): 0.53 eV per atom
E above lowest polymorph: 0.00 eV per formula unit

abc: 3.455 3.455 7.248
angles: 90.00 90.00 90.00
Fractional positions:
Se 0.000 0.000 0.500
N 0.500 0.000 0.000
Si 0.000 0.000 0.000
N 0.000 0.500 0.000
Pd 0.500 0.500 0.500

***

The following is a DFT calculation (PBE-GGA) of a relaxed structure of Ag4SeS.

Values from the calculation:
SG: I4_1md (109)
E_form (uncorrected): -0.02 eV per atom
E above lowest polymorph: 0.00 eV per formula unit

abc: 8.204 8.204 8.204
angles: 127.18 127.18 77.96
Fractional positions:
Ag 0.256 0.965 0.709
Ag 0.256 0.547 0.291
S 0.801 0.801 0.000
S 0.551 0.051 0.500
Ag 0.715 0.506 0.209
Ag 0.297 0.506 0.791
Ag 0.666 0.903 0.236
Se 0.104 0.604 0.500
Ag 0.180 0.916 0.264
Se 0.354 0.354 0.000
Ag 0.653 0.916 0.736
Ag 0.666 0.430 0.764

***

The following M_tot values (in μB per atom) correspond, in order, to the records above: 0.0000; 0.0000.
The following ρ values (in Mg/m³) correspond, in order, to the records above: 4.63; 5.30.